# 1
Below is CeBPt3 at its PBEsol-relaxed geometry, with properties calculated at the meta-GGA SCAN level.

a = 3.914 Å, b = 3.914 Å, c = 5.156 Å
α = 90.00°, β = 90.00°, γ = 90.00°
Space group P4mm (No. 99)
Asymmetric unit:
Ce 0.000 0.000 0.000 x1
B 0.500 0.500 0.736 x1
Pt 0.000 0.500 0.534 x2
Pt 0.500 0.500 0.147 x1

Calculated values
Formation energy, eV per atom: -1.04
Size of the total moment, Bohr magnetons per cell: 0.78
Energy, eV per atom: -53.5527



# 2
Below is CeBRh3 at its PBEsol-relaxed geometry, with properties calculated at the meta-GGA SCAN level.

a = 4.172 Å, b = 4.172 Å, c = 4.172 Å
α = 90.00°, β = 90.00°, γ = 90.00°
Space group Pm-3m (No. 221)
Asymmetric unit:
Ce 0.000 0.000 0.000 x1
B 0.500 0.500 0.500 x1
Rh 0.000 0.500 0.500 x3

Calculated values
Formation energy, eV per atom: -0.83
Size of the total moment, Bohr magnetons per cell: 0.15
Energy, eV per atom: -31.4896



# 3
Below is CeB2Ru2Rh at its PBEsol-relaxed geometry, with properties calculated at the meta-GGA SCAN level.

a = 5.571 Å, b = 9.386 Å, c = 2.954 Å
α = 90.00°, β = 90.00°, γ = 90.00°
Space group Cmmm (No. 65)
Asymmetric unit:
Ce 0.000 0.000 0.000 x2
B 0.000 0.328 0.000 x4
Ru 0.250 0.250 0.500 x4
Rh 0.000 0.500 0.500 x2

Calculated values
Formation energy, eV per atom: -0.68
Size of the total moment, Bohr magnetons per cell: 0.87
Energy, eV per atom: -27.8163



# 4
Below is CeSiBRh3 at its PBEsol-relaxed geometry, with properties calculated at the meta-GGA SCAN level.

a = 5.4704 Å, b = 5.4704 Å, c = 3.3657 Å
α = 90.00°, β = 90.00°, γ = 120.00°
Space group P-6m2 (No. 187)
Asymmetric unit:
Ce 0.0000 0.0000 0.0000 x1
Si 0.6667 0.3333 0.0000 x1
B 0.3333 0.6667 0.0000 x1
Rh 0.0142 0.5071 0.5000 x3

Calculated values
Size of the total moment, Bohr magnetons per cell: 0.83
Energy, eV per atom: -28.1225
Uncorrected formation energy, meV per atom: -902



# 5
Below is CeSmB12 at its PBEsol-relaxed geometry, with properties calculated at the meta-GGA SCAN level.

a = 5.787 Å, b = 5.787 Å, c = 4.091 Å
α = 90.00°, β = 90.00°, γ = 90.00°
Space group P4/mmm (No. 123)
Asymmetric unit:
Ce 0.000 0.000 0.000 x1
Sm 0.500 0.500 0.000 x1
B 0.000 0.500 0.199 x4
B 0.150 0.349 0.500 x8

Calculated values
Formation energy, eV per atom: -0.55
Size of the total moment, Bohr magnetons per cell: 1.05
Energy, eV per atom: -13.2763



# 6
Below is CeThB12 at its PBEsol-relaxed geometry, with properties calculated at the meta-GGA SCAN level.

a = 4.087 Å, b = 4.087 Å, c = 8.179 Å
α = 90.00°, β = 90.00°, γ = 90.00°
Space group P4/mmm (No. 123)
Asymmetric unit:
Ce 0.000 0.000 0.000 x1
Th 0.000 0.000 0.500 x1
B 0.198 0.500 0.250 x8
B 0.500 0.500 0.099 x2
B 0.500 0.500 0.401 x2

Calculated values
Formation energy, eV per atom: -0.54
Size of the total moment, Bohr magnetons per cell: 1.00
Energy, eV per atom: -16.9390



# 7
Below is CeThB8 at its PBEsol-relaxed geometry, with properties calculated at the meta-GGA SCAN level.

a = 10.090 Å, b = 10.194 Å, c = 4.068 Å
α = 90.00°, β = 90.00°, γ = 90.00°
Space group Cmmm (No. 65)
Asymmetric unit:
Ce 0.000 0.187 0.000 x4
Th 0.187 0.500 0.000 x4
B 0.000 0.412 0.500 x4
B 0.088 0.000 0.500 x4
B 0.142 0.317 0.500 x8
B 0.180 0.143 0.500 x8
B 0.250 0.250 0.202 x8

Calculated values
Formation energy, eV per atom: -0.64
Size of the total moment, Bohr magnetons per cell: 0.00
Energy, eV per atom: -20.6351



# 8
Below is BCl3 at its PBEsol-relaxed geometry, with properties calculated at the meta-GGA SCAN level.

a = 6.2431 Å, b = 6.2431 Å, c = 6.8965 Å
α = 90.00°, β = 90.00°, γ = 120.00°
Space group P6_3/m (No. 176)
Asymmetric unit:
B 0.3333 0.6667 0.2500 x2
Cl 0.0644 0.6848 0.2500 x6

Calculated values
Size of the total moment, Bohr magnetons per cell: 0.00
Energy, eV per atom: -8.8978
Uncorrected formation energy, meV per atom: -1057



# 9
Below is GaCoB2Cl at its PBEsol-relaxed geometry, with properties calculated at the meta-GGA SCAN level.

a = 3.877 Å, b = 3.877 Å, c = 5.305 Å
α = 90.00°, β = 90.00°, γ = 90.00°
Space group P4/mmm (No. 123)
Asymmetric unit:
Ga 0.000 0.000 0.000 x1
Co 0.500 0.500 0.500 x1
B 0.000 0.500 0.000 x2
Cl 0.000 0.000 0.500 x1

Calculated values
Size of the total moment, Bohr magnetons per cell: 1.95
Energy, eV per atom: -9.8507
Uncorrected formation energy, meV per atom: 1447



# 10
Below is La2CoBCl at its PBEsol-relaxed geometry, with properties calculated at the meta-GGA SCAN level.

a = 5.208 Å, b = 5.208 Å, c = 3.821 Å
α = 90.00°, β = 90.00°, γ = 90.00°
Space group P4/mmm (No. 123)
Asymmetric unit:
La 0.000 0.500 0.000 x2
Co 0.000 0.000 0.000 x1
B 0.000 0.000 0.500 x1
Cl 0.500 0.500 0.500 x1

Calculated values
Size of the total moment, Bohr magnetons per cell: 0.00
Energy, eV per atom: -24.4516
Uncorrected formation energy, meV per atom: -667



# 11
Below is Co3B7ClO13 at its PBEsol-relaxed geometry, with properties calculated at the meta-GGA SCAN level.

a = 8.5186 Å, b = 8.5186 Å, c = 20.9023 Å
α = 90.00°, β = 90.00°, γ = 120.00°
Space group R3c (No. 161, hexagonal axes)
Asymmetric unit:
Co 0.1873 0.3756 0.0000 x18
B 0.0000 0.0000 0.0570 x6
B 0.1684 0.3375 0.7429 x18
B 0.2048 0.1022 0.1877 x18
Cl 0.0000 0.0000 0.3858 x6
O 0.0000 0.0000 0.1703 x6
O 0.0019 0.1624 0.0540 x18
O 0.0289 0.2919 0.1947 x18
O 0.1023 0.3595 0.3045 x18
O 0.1357 0.4449 0.4146 x18

Calculated values
Size of the total moment, Bohr magnetons per cell: 54.09
Energy, eV per atom: -10.3000
Uncorrected formation energy, meV per atom: -2262



# 12
Below is CoBS2Cl at its PBEsol-relaxed geometry, with properties calculated at the meta-GGA SCAN level.

a = 4.054 Å, b = 4.054 Å, c = 4.357 Å
α = 90.00°, β = 90.00°, γ = 90.00°
Space group P4/mmm (No. 123)
Asymmetric unit:
Co 0.000 0.000 0.000 x1
B 0.500 0.500 0.500 x1
S 0.000 0.500 0.500 x2
Cl 0.500 0.500 0.000 x1

Calculated values
Size of the total moment, Bohr magnetons per cell: 2.80
Energy, eV per atom: -9.6349
Uncorrected formation energy, meV per atom: 759



Among the records above, which one has the highest energy?
BCl3



Repeat the sixth record exactly.
Below is CeThB12 at its PBEsol-relaxed geometry, with properties calculated at the meta-GGA SCAN level.

a = 4.087 Å, b = 4.087 Å, c = 8.179 Å
α = 90.00°, β = 90.00°, γ = 90.00°
Space group P4/mmm (No. 123)
Asymmetric unit:
Ce 0.000 0.000 0.000 x1
Th 0.000 0.000 0.500 x1
B 0.198 0.500 0.250 x8
B 0.500 0.500 0.099 x2
B 0.500 0.500 0.401 x2

Calculated values
Formation energy, eV per atom: -0.54
Size of the total moment, Bohr magnetons per cell: 1.00
Energy, eV per atom: -16.9390